VASP calculation (PBE) on an optimized crystal structure of Ti2PtI.

The energy relative to the elements, uncorrected comes out at -92 meV per atom. For the size of the total moment, the calculation gives 0.00 μB per atom. The calculation puts the calculated total energy at -23.8 eV/cell. The calculation puts the density at 9.60 Mg/m³.

Cell: 4.676 4.676 4.676 Å, 60.00 60.00 60.00°
Fractional coordinates of all 4 atoms:
Ti1 0.250 0.250 0.250
Ti2 0.750 0.750 0.750
I1 0.000 0.000 0.000
Pt1 0.500 0.500 0.500

=====

VASP calculation (PBE) on an optimized crystal structure of BaHf2As4Au.

For the size of the total moment, the calculation gives 0.00 μB per atom. The calculation puts the calculated total energy at -99.2 eV/cell. The calculation puts the density at 8.48 Mg/m³.

Cell: 3.955 7.371 13.815 Å, 90.00 90.00 105.56°
Fractional coordinates of all 16 atoms:
As1 0.251 0.502 0.411
As2 0.749 0.498 0.589
As3 0.251 0.502 0.089
As4 0.545 0.090 0.250
As5 0.749 0.498 0.911
As6 0.455 0.910 0.750
As7 0.000 0.000 0.000
As8 0.000 0.000 0.500
Au1 0.841 0.682 0.750
Au2 0.159 0.318 0.250
Hf1 0.384 0.768 0.931
Hf2 0.616 0.232 0.069
Hf3 0.616 0.232 0.431
Hf4 0.384 0.768 0.569
Ba1 0.867 0.734 0.250
Ba2 0.133 0.266 0.750

=====

VASP calculation (PBE) on an optimized crystal structure of Na2PaPtO6.

The energy relative to the elements, uncorrected comes out at -1934 meV per atom. For the size of the total moment, the calculation gives 0.00 μB per atom. The calculation puts the calculated total energy at -67.3 eV/cell. The calculation puts the density at 7.02 Mg/m³.

Cell: 5.717 5.718 5.785 Å, 60.36 60.38 60.00°
Fractional coordinates of all 10 atoms:
Pt1 0.316 0.316 0.052
Na1 0.570 0.569 0.292
Na2 0.063 0.063 0.811
O1 0.557 0.149 0.290
O2 0.076 0.483 0.813
O3 0.628 0.076 0.812
O4 0.483 0.629 0.811
O5 0.004 0.556 0.291
O6 0.149 0.003 0.292
Pa1 0.816 0.816 0.552

=====

Q: Look up the calculated total energy of the third one.
A: -67.3 eV/cell

=====

Q: Which value of size of the total moment does entry 2 give?
A: 0.00 μB per atom

=====

Q: calculated total energy of number 1 (Ti2PtI)?
A: -23.8 eV/cell

=====

Q: Which value of calculated total energy does entry 1 give?
A: -23.8 eV/cell